1.
Density functional theory data (PBEsol) for an optimized crystal structure of LaCd.

Cell: 3.531 3.531 8.955 Å, 90.00 90.00 90.00°
Sites, in units of the cell vectors:
Cd 0.500 0.000 0.092
La 0.500 0.000 0.658
La 0.000 0.500 0.342
Cd 0.000 0.500 0.908

Results
crystal system = tetragonal
calculated volume = 27.9 A^3/atom
total moment = 0.00 μB/f.u.
ΔH_f (0 K) = -0.29 eV/f.u.
density = 7.476 g cm⁻³


2.
Density functional theory data (PBEsol) for an optimized crystal structure of LaCd3.

Cell: 5.136 5.138 5.138 Å, 59.96 60.02 60.02°
Sites, in units of the cell vectors:
La 0.000 0.000 0.000
Cd 0.750 0.750 0.750
Cd 0.250 0.250 0.250
Cd 0.500 0.500 0.500

Results
crystal system = cubic
calculated volume = 24.0 A^3/atom
total moment = 0.00 μB/f.u.
ΔH_f (0 K) = -1.35 eV/f.u.
density = 8.246 g cm⁻³


3.
Density functional theory data (PBEsol) for an optimized crystal structure of La5Cd.

Cell: 3.659 5.811 9.126 Å, 90.00 101.56 90.00°
Sites, in units of the cell vectors:
La 0.670 0.000 0.339
Cd 0.011 0.000 0.021
La 0.208 0.500 0.416
La 0.356 0.000 0.712
La 0.539 0.500 0.079
La 0.883 0.500 0.766

Results
crystal system = orthorhombic
calculated volume = 31.7 A^3/atom
E above lowest polymorph = 35.5 meV per atom
total moment = 0.00 μB/f.u.
ΔH_f (0 K) = -0.40 eV/f.u.
density = 7.048 g cm⁻³


4.
Density functional theory data (PBEsol) for an optimized crystal structure of La2Cd.

Cell: 3.905 3.905 6.549 Å, 107.34 107.34 90.00°
Sites, in units of the cell vectors:
La 0.655 0.655 0.310
Cd 0.000 0.000 0.000
La 0.345 0.345 0.690

Results
crystal system = tetragonal
calculated volume = 30.2 A^3/atom
total moment = 0.00 μB/f.u.
ΔH_f (0 K) = -0.59 eV/f.u.
density = 7.157 g cm⁻³


5.
Density functional theory data (PBEsol) for an optimized crystal structure of La4Cd5.

Cell: 6.661 9.383 9.383 Å, 120.00 90.00 90.00°
Sites, in units of the cell vectors:
La 0.500 0.000 0.000
La 0.000 0.000 0.000
La 0.250 0.639 0.000
Cd 0.750 0.686 0.000
Cd 0.250 0.686 0.686
Cd 0.500 0.333 0.667
Cd 0.000 0.667 0.333
Cd 0.250 0.314 0.000
La 0.750 0.639 0.639
La 0.250 0.361 0.361
Cd 0.250 0.000 0.314
Cd 0.750 0.314 0.314
Cd 0.750 0.000 0.686
La 0.750 0.000 0.361
La 0.750 0.361 0.000
La 0.250 0.000 0.639
Cd 0.500 0.667 0.333
Cd 0.000 0.333 0.667

Results
crystal system = hexagonal
calculated volume = 28.2 A^3/atom
total moment = 0.00 μB/f.u.
ΔH_f (0 K) = -2.06 eV/f.u.
density = 7.309 g cm⁻³


6.
Density functional theory data (PBEsol) for an optimized crystal structure of LaCd3.

Cell: 3.241 4.937 6.225 Å, 90.00 92.71 90.00°
Sites, in units of the cell vectors:
Cd 0.500 0.500 0.000
Cd 0.471 0.000 0.244
La 0.000 0.500 0.500
Cd 0.529 0.000 0.756

Results
crystal system = monoclinic
calculated volume = 24.9 A^3/atom
total moment = 0.00 μB/f.u.
ΔH_f (0 K) = -0.87 eV/f.u.
density = 7.947 g cm⁻³


7.
Density functional theory data (PBEsol) for an optimized crystal structure of LaCd3.

Cell: 3.261 3.261 10.379 Å, 90.00 90.00 120.00°
Sites, in units of the cell vectors:
Cd 0.000 0.000 0.000
La 0.000 0.000 0.500
Cd 0.333 0.667 0.228
Cd 0.333 0.667 0.772

Results
crystal system = hexagonal
calculated volume = 23.9 A^3/atom
total moment = 0.00 μB/f.u.
ΔH_f (0 K) = -0.23 eV/f.u.
density = 8.272 g cm⁻³


8.
Density functional theory data (PBEsol) for an optimized crystal structure of La3Cd.

Cell: 5.530 6.144 7.074 Å, 90.00 90.00 90.00°
Sites, in units of the cell vectors:
La 0.000 0.182 0.248
La 0.000 0.627 0.500
Cd 0.500 0.311 0.500
La 0.500 0.818 0.252
La 0.000 0.182 0.752
Cd 0.000 0.689 0.000
La 0.500 0.373 0.000
La 0.500 0.818 0.748

Results
crystal system = orthorhombic
calculated volume = 30.0 A^3/atom
total moment = 0.00 μB/f.u.
ΔH_f (0 K) = -0.50 eV/f.u.
density = 7.311 g cm⁻³


9.
Density functional theory data (PBEsol) for an optimized crystal structure of LaCd4.

Cell: 4.441 4.441 6.970 Å, 108.58 108.58 90.00°
Sites, in units of the cell vectors:
Cd 0.391 0.391 0.782
Cd 0.750 0.250 0.500
Cd 0.609 0.609 0.218
La 0.000 0.000 0.000
Cd 0.250 0.750 0.500

Results
crystal system = tetragonal
calculated volume = 24.5 A^3/atom
total moment = 0.00 μB/f.u.
ΔH_f (0 K) = -1.28 eV/f.u.
density = 7.965 g cm⁻³


10.
Density functional theory data (PBEsol) for an optimized crystal structure of La4Cd.

Cell: 4.906 6.106 6.106 Å, 80.71 66.31 66.31°
Sites, in units of the cell vectors:
La 0.800 0.811 0.589
La 0.611 0.589 0.189
La 0.389 0.411 0.811
La 0.200 0.189 0.411
Cd 0.000 0.000 0.000

Results
crystal system = tetragonal
calculated volume = 30.7 A^3/atom
total moment = 0.00 μB/f.u.
ΔH_f (0 K) = -0.56 eV/f.u.
density = 7.232 g cm⁻³


11.
Density functional theory data (PBEsol) for an optimized crystal structure of La3Cd5.

Cell: 5.301 6.617 6.617 Å, 110.75 90.00 90.00°
Sites, in units of the cell vectors:
Cd 0.000 0.000 0.000
La 0.000 0.500 0.500
La 0.500 0.781 0.219
La 0.500 0.219 0.781
Cd 0.500 0.273 0.273
Cd 0.000 0.500 0.000
Cd 0.000 0.000 0.500
Cd 0.500 0.727 0.727

Results
crystal system = orthorhombic
calculated volume = 27.1 A^3/atom
total moment = 0.00 μB/f.u.
ΔH_f (0 K) = -2.18 eV/f.u.
density = 7.489 g cm⁻³


12.
Density functional theory data (PBEsol) for an optimized crystal structure of La3Cd.

Cell: 5.513 7.119 7.119 Å, 120.00 90.00 90.00°
Sites, in units of the cell vectors:
La 0.250 0.822 0.645
La 0.750 0.178 0.822
La 0.250 0.822 0.178
La 0.750 0.178 0.355
Cd 0.750 0.667 0.333
La 0.750 0.645 0.822
La 0.250 0.355 0.178
Cd 0.250 0.333 0.667

Results
crystal system = hexagonal
calculated volume = 30.2 A^3/atom
total moment = 0.00 μB/f.u.
ΔH_f (0 K) = -0.54 eV/f.u.
density = 7.263 g cm⁻³